No. 1
Computed, not measured: a relaxed structure of NbOs3 at the PBE level of DFT.

POSCAR file:
```
NbOs3
1.0
3.930 0.000 0.000
0.000 3.930 0.000
0.000 0.000 3.930
Nb Os
1 3
direct
0.000 0.000 0.000
0.000 0.500 0.500
0.500 0.000 0.500
0.500 0.500 0.000
```

No. 2
Computed, not measured: a relaxed structure of ZrTe2P at the PBE level of DFT.

Values from the calculation:
Distance to the lowest polymorph of the same formula in eV/atom: 0.295

POSCAR file:
```
ZrTe2P
1.0
1.778 1.027 9.154
-1.778 1.027 9.154
0.000 -2.053 9.154
Zr Te P
1 2 1
direct
0.000 0.000 0.000
0.258 0.258 0.258
0.473 0.473 0.473
0.728 0.728 0.728
```

No. 3
Computed, not measured: a relaxed structure of LuHfIn2 at the PBE level of DFT.

Values from the calculation:
Distance to the lowest polymorph of the same formula in eV/atom: 0.000

POSCAR file:
```
LuHfIn2
1.0
4.618 0.000 0.000
0.000 4.618 0.000
0.000 0.000 4.358
Lu Hf In
1 1 2
direct
0.000 0.000 0.000
0.500 0.500 0.000
0.000 0.500 0.500
0.500 0.000 0.500
```

No. 4
Computed, not measured: a relaxed structure of FeTeRuN2 at the PBE level of DFT.

Values from the calculation:
Distance to the lowest polymorph of the same formula in eV/atom: 0.000

POSCAR file:
```
FeTeRuN2
1.0
3.793 0.000 0.000
0.000 3.793 0.000
0.000 0.000 5.817
Fe Te Ru N
1 1 1 2
direct
0.000 0.000 0.000
0.500 0.500 0.000
0.500 0.500 0.500
0.000 0.500 0.500
0.500 0.000 0.500
```

Listing raw total energy for the structures above in their given order: -44.0; -21.3; -20.8; -32.7 eV per cell.
Listing size of the total moment for the structures above in their given order: 0.000; 0.000; 0.000; 3.432 μB/cell.